Here is a relaxed structure of La5Y3S8 from Alexandria via LeMat-Bulk. Energies are from GGA-PBE.

Geometry as CIF:
```
data_La5Y3S8
_chemical_formula_sum 'La5 Y3 S8'
_cell_length_a 8.159
_cell_length_b 8.159
_cell_length_c 8.159
_cell_angle_alpha 59.66
_cell_angle_beta 59.66
_cell_angle_gamma 59.66
_space_group_name_H-M_alt 'P 1'
_space_group_IT_number 1
loop_
_space_group_symop_operation_xyz
'x,y,z'
loop_
_atom_site_label
_atom_site_fract_x
_atom_site_fract_y
_atom_site_fract_z
La1 0.000 0.000 0.000
La2 0.000 0.500 0.500
La3 0.500 0.000 0.500
La4 0.500 0.500 0.000
La5 0.500 0.500 0.500
Y1 0.000 0.000 0.500
Y2 0.000 0.500 0.000
Y3 0.500 0.000 0.000
S1 0.236 0.750 0.750
S2 0.244 0.244 0.244
S3 0.250 0.250 0.764
S4 0.250 0.764 0.250
S5 0.750 0.236 0.750
S6 0.750 0.750 0.236
S7 0.756 0.756 0.756
S8 0.764 0.250 0.250
```

Calculated values
The space group is No. 166. As for the crystal system: trigonal. The calculation puts the formation energy from raw total energies at -203 kJ/mol of atoms.